# 1
# PBE Sr2CrPb, relaxed
data_Sr2CrPb
_chemical_formula_sum 'Sr2 Cr1 Pb1'
_symmetry_space_group_name_H-M 'P 1'
_symmetry_Int_Tables_number 1
_cell_length_a 5.587
_cell_length_b 5.587
_cell_length_c 5.587
_cell_angle_alpha 60.00
_cell_angle_beta 60.00
_cell_angle_gamma 60.00
loop_
_symmetry_equiv_pos_as_xyz
'x,y,z'
loop_
_atom_site_label
_atom_site_type_symbol
_atom_site_fract_x
_atom_site_fract_y
_atom_site_fract_z
Sr1 Sr 0.250 0.250 0.250
Sr2 Sr 0.000 0.000 0.000
Pb1 Pb 0.750 0.750 0.750
Cr1 Cr 0.500 0.500 0.500
# DFT total energy = -0.1453 hartree per atom
# Energy relative to the elements = 0.2196 eV per atom

---

# 2
# PBE Zn4Ni2Rh, relaxed
data_Zn4Ni2Rh
_chemical_formula_sum 'Zn4 Ni2 Rh1'
_symmetry_space_group_name_H-M 'P 1'
_symmetry_Int_Tables_number 1
_cell_length_a 5.061
_cell_length_b 5.061
_cell_length_c 5.061
_cell_angle_alpha 107.45
_cell_angle_beta 110.49
_cell_angle_gamma 110.49
loop_
_symmetry_equiv_pos_as_xyz
'x,y,z'
loop_
_atom_site_label
_atom_site_type_symbol
_atom_site_fract_x
_atom_site_fract_y
_atom_site_fract_z
Ni1 Ni 0.500 0.000 0.500
Zn1 Zn 0.000 0.500 0.000
Rh1 Rh 0.000 0.000 0.000
Zn2 Zn 0.000 0.000 0.500
Zn3 Zn 0.500 0.000 0.000
Ni2 Ni 0.500 0.500 0.000
Zn4 Zn 0.500 0.500 0.500
# DFT total energy = -0.1349 hartree per atom
# Energy relative to the elements = -0.2414 eV per atom

---

# 3
# PBE Sr16Li12Mg, relaxed
data_Sr16Li12Mg
_chemical_formula_sum 'Sr16 Li12 Mg1'
_symmetry_space_group_name_H-M 'P 1'
_symmetry_Int_Tables_number 1
_cell_length_a 11.078
_cell_length_b 11.078
_cell_length_c 12.793
_cell_angle_alpha 112.15
_cell_angle_beta 112.15
_cell_angle_gamma 106.54
loop_
_symmetry_equiv_pos_as_xyz
'x,y,z'
loop_
_atom_site_label
_atom_site_type_symbol
_atom_site_fract_x
_atom_site_fract_y
_atom_site_fract_z
Li1 Li 0.007 0.392 0.184
Li2 Li 0.627 0.818 0.686
Li3 Li 0.192 0.005 0.306
Li4 Li 0.370 0.191 0.032
Sr1 Sr 0.962 0.962 0.675
Li5 Li 0.005 0.192 0.306
Mg1 Mg 0.592 0.592 0.269
Li6 Li 0.817 0.817 0.112
Sr2 Sr 0.012 0.634 0.010
Sr3 Sr 0.762 0.381 0.362
Li7 Li 0.816 0.187 0.854
Sr4 Sr 0.244 0.244 0.609
Sr5 Sr 0.989 0.747 0.355
Li8 Li 0.191 0.370 0.032
Sr6 Sr 0.747 0.989 0.355
Li9 Li 0.392 0.007 0.184
Li10 Li 0.818 0.627 0.686
Sr7 Sr 0.993 0.374 0.701
Sr8 Sr 0.381 0.762 0.362
Li11 Li 0.613 0.613 0.800
Sr9 Sr 0.374 0.993 0.701
Sr10 Sr 0.393 0.393 0.374
Sr11 Sr 0.634 0.012 0.010
Sr12 Sr 0.642 0.410 0.995
Sr13 Sr 0.587 0.234 0.588
Sr14 Sr 0.009 0.009 0.011
Sr15 Sr 0.410 0.642 0.995
Sr16 Sr 0.234 0.587 0.588
Li12 Li 0.187 0.816 0.854
# DFT total energy = -0.0634 hartree per atom
# Energy relative to the elements = 0.0504 eV per atom

---

# 4
# PBE Zr2TeW, relaxed
data_Zr2TeW
_chemical_formula_sum 'Zr2 Te1 W1'
_symmetry_space_group_name_H-M 'P 1'
_symmetry_Int_Tables_number 1
_cell_length_a 3.210
_cell_length_b 3.210
_cell_length_c 8.801
_cell_angle_alpha 90.00
_cell_angle_beta 90.00
_cell_angle_gamma 109.95
loop_
_symmetry_equiv_pos_as_xyz
'x,y,z'
loop_
_atom_site_label
_atom_site_type_symbol
_atom_site_fract_x
_atom_site_fract_y
_atom_site_fract_z
Te1 Te 0.500 0.500 0.250
Zr1 Zr 0.000 0.000 0.986
W1 W 0.500 0.500 0.750
Zr2 Zr 0.000 0.000 0.514
# Formation energy (no corrections) = -0.15 eV/f.u.
# Relative energy among the computed polymorphs = 0.62 eV/f.u.
# DFT total energy = -0.3063 hartree per atom

---

# 5
# PBE YThIr, relaxed
data_YThIr
_chemical_formula_sum 'Y2 Th2 Ir2'
_symmetry_space_group_name_H-M 'P 1'
_symmetry_Int_Tables_number 1
_cell_length_a 3.906
_cell_length_b 6.405
_cell_length_c 7.133
_cell_angle_alpha 73.46
_cell_angle_beta 74.11
_cell_angle_gamma 72.25
loop_
_symmetry_equiv_pos_as_xyz
'x,y,z'
loop_
_atom_site_label
_atom_site_type_symbol
_atom_site_fract_x
_atom_site_fract_y
_atom_site_fract_z
Ir1 Ir 0.030 0.750 0.191
Y1 Y 0.008 0.406 0.578
Y2 Y 0.583 0.958 0.876
Ir2 Ir 0.307 0.566 0.820
Th1 Th 0.754 0.375 0.118
Th2 Th 0.342 0.886 0.430
# Relative energy among the computed polymorphs = 0.00 eV/f.u.
# DFT total energy = -0.3027 hartree per atom
# Energy relative to the elements = -0.6543 eV per atom

---

# 6
# PBE InSnSb2Au4, relaxed
data_InSnSb2Au4
_chemical_formula_sum 'In1 Sn1 Sb2 Au4'
_symmetry_space_group_name_H-M 'P 1'
_symmetry_Int_Tables_number 1
_cell_length_a 5.795
_cell_length_b 5.795
_cell_length_c 6.917
_cell_angle_alpha 112.56
_cell_angle_beta 112.56
_cell_angle_gamma 94.83
loop_
_symmetry_equiv_pos_as_xyz
'x,y,z'
loop_
_atom_site_label
_atom_site_type_symbol
_atom_site_fract_x
_atom_site_fract_y
_atom_site_fract_z
Au1 Au 0.938 0.437 0.000
Au2 Au 0.688 0.688 0.502
Au3 Au 0.437 0.938 0.000
Sn1 Sn 0.438 0.438 0.000
Sb1 Sb 0.687 0.187 0.500
In1 In 0.938 0.938 0.000
Sb2 Sb 0.187 0.687 0.500
Au4 Au 0.186 0.186 0.498
# Formation energy (no corrections) = -0.84 eV/f.u.
# DFT total energy = -0.1329 hartree per atom

---

# 7
# PBE Pm3Pr6Y, relaxed
data_Pm3Pr6Y
_chemical_formula_sum 'Pm3 Pr6 Y1'
_symmetry_space_group_name_H-M 'P 1'
_symmetry_Int_Tables_number 1
_cell_length_a 7.248
_cell_length_b 12.838
_cell_length_c 10.140
_cell_angle_alpha 148.29
_cell_angle_beta 110.94
_cell_angle_gamma 90.00
loop_
_symmetry_equiv_pos_as_xyz
'x,y,z'
loop_
_atom_site_label
_atom_site_type_symbol
_atom_site_fract_x
_atom_site_fract_y
_atom_site_fract_z
Pr1 Pr 0.329 0.298 0.107
Pm1 Pm 0.000 0.000 0.000
Pr2 Pr 0.778 0.298 0.107
Pr3 Pr 0.833 0.173 0.666
Pr4 Pr 0.671 0.702 0.893
Pm2 Pm 0.303 0.761 0.606
Y1 Y 0.500 0.500 0.000
Pr5 Pr 0.222 0.702 0.893
Pm3 Pm 0.697 0.239 0.394
Pr6 Pr 0.167 0.827 0.334
# Relative energy among the computed polymorphs = 1.21 eV/f.u.
# DFT total energy = -0.1722 hartree per atom
# Energy relative to the elements = 0.2535 eV per atom